Compound: CaZnPd
Source: Alexandria via LeMat-Bulk
Functional: PBEsol
Structure: optimized geometry

a b c (Å): 4.3295 4.3295 3.7756
angles (deg): 90.00 90.00 120.00
Last column: nearest neighbours and their distance in Å.
Space group P-6m2 (No. 187)
Inequivalent atoms, fractional coordinates:
Ca (0.0000, 0.0000, 0.0000)  6 Pd 3.13, 6 Zn 3.13
Zn (0.3333, 0.6667, 0.5000)  3 Pd 2.50
Pd (0.6667, 0.3333, 0.5000)  3 Zn 2.50

Properties
As for the formation enthalpy at 0 K: -0.527 eV per atom. The calculation puts the volume at 20.43 Å³ per atom. As for the crystal system: hexagonal.

---

Compound: BaLiAg4
Source: Alexandria via LeMat-Bulk
Functional: PBEsol
Structure: optimized geometry

a b c (Å): 8.0416 8.0416 8.0416
angles (deg): 90.00 90.00 90.00
Last column: nearest neighbours and their distance in Å.
Space group F-43m (No. 216)
Inequivalent atoms, fractional coordinates:
Ba (0.0000, 0.0000, 0.0000)  12 Ag 3.34, 4 Li 3.48
Li (0.2500, 0.2500, 0.7500)  12 Ag 3.33, 4 Ba 3.48
Ag (0.1236, 0.1236, 0.3764)  6 Ag 2.81-2.87

Properties
As for the formation enthalpy at 0 K: -0.124 eV per atom. The calculation puts the volume at 21.67 Å³ per atom. As for the crystal system: cubic.

---

Compound: ZnCd2Ag
Source: Alexandria via LeMat-Bulk
Functional: PBEsol
Structure: optimized geometry

a b c (Å): 10.4806 3.0402 4.9860
angles (deg): 90.00 117.42 90.00
Last column: nearest neighbours and their distance in Å.
Space group Cm (No. 8)
Inequivalent atoms, fractional coordinates:
Zn (0.0000, 0.0000, 0.0000)  3 Ag 2.75-3.07, 7 Cd 2.85-2.98, 2 Zn 3.04
Cd (0.0140, 0.5000, 0.5013)  4 Zn 2.87-2.98, 3 Ag 2.88-2.89, 5 Cd 2.89-3.04
Cd (0.2494, 0.5000, 0.1061)  3 Zn 2.85-2.91, 5 Cd 2.89-3.04, 4 Ag 2.90-2.95
Ag (0.2689, 0.0000, 0.6183)  3 Zn 2.75-3.07, 7 Cd 2.88-2.95, 2 Ag 3.04

Properties
As for the formation enthalpy at 0 K: -0.018 eV per atom. The calculation puts the volume at 17.63 Å³ per atom. As for the crystal system: monoclinic.

---

Compound: ZnAg2Rh
Source: Alexandria via LeMat-Bulk
Functional: PBEsol
Structure: optimized geometry

a b c (Å): 2.9129 4.6100 8.9589
angles (deg): 90.00 90.00 90.00
Last column: nearest neighbours and their distance in Å.
Space group Cmm2 (No. 35)
Inequivalent atoms, fractional coordinates:
Zn (0.0000, 0.0000, 0.0000)  2 Rh 2.48, 2 Ag 2.66, 4 Zn 2.73
Ag (0.0000, 0.0000, 0.4838)  8 Ag 2.73-2.91, 2 Rh 2.74
Ag (0.0000, 0.5000, 0.7518)  2 Zn 2.66, 8 Ag 2.73-2.91
Rh (0.0000, 0.5000, 0.2244)  2 Zn 2.48, 4 Rh 2.73, 2 Ag 2.74

Properties
As for the formation enthalpy at 0 K: 0.030 eV per atom. The calculation puts the volume at 15.04 Å³ per atom. As for the crystal system: orthorhombic.

---

Compound: Zr2FeOs
Source: Alexandria via LeMat-Bulk
Functional: PBEsol
Structure: optimized geometry

a b c (Å): 6.3642 6.3642 6.3642
angles (deg): 90.00 90.00 90.00
Last column: nearest neighbours and their distance in Å.
Space group F-43m (No. 216)
Inequivalent atoms, fractional coordinates:
Zr (0.0000, 0.0000, 0.0000)  4 Zr 2.76, 4 Fe 2.76
Zr (0.2500, 0.2500, 0.2500)  4 Zr 2.76, 4 Os 2.76
Fe (0.2500, 0.2500, 0.7500)  4 Zr 2.76, 4 Os 2.76
Os (0.0000, 0.0000, 0.5000)  4 Zr 2.76, 4 Fe 2.76

Properties
As for the formation enthalpy at 0 K: -0.046 eV per atom. The calculation puts the volume at 16.11 Å³ per atom. As for the crystal system: cubic.

---

Compound: Hg3Au
Source: Alexandria via LeMat-Bulk
Functional: PBEsol
Structure: optimized geometry

a b c (Å): 7.2003 8.1226 6.1228
angles (deg): 90.00 90.00 90.00
Last column: nearest neighbours and their distance in Å.
Space group Pnma (No. 62)
Inequivalent atoms, fractional coordinates:
Hg (0.0148, 0.2500, 0.1233)  2 Au 2.85-2.86, 4 Hg 3.07-3.17
Hg (0.2115, 0.0553, 0.6153)  3 Au 2.78-2.89, 1 Hg 3.07
Au (0.1214, 0.7500, 0.4384)  8 Hg 2.78-2.89

Properties
As for the formation enthalpy at 0 K: 0.028 eV per atom. The calculation puts the volume at 22.38 Å³ per atom. As for the crystal system: orthorhombic. As for the polymorph energy (0 for the lowest one): 0.0000 eV/atom.

---

Compound: BaZn2Co2
Source: Alexandria via LeMat-Bulk
Functional: PBEsol
Structure: optimized geometry

a b c (Å): 4.2463 4.2463 9.9143
angles (deg): 90.00 90.00 90.00
Last column: nearest neighbours and their distance in Å.
Space group I4/mmm (No. 139)
Inequivalent atoms, fractional coordinates:
Ba (0.0000, 0.0000, 0.0000)  8 Co 3.21, 8 Zn 3.26
Zn (0.0000, 0.5000, 0.2500)  4 Co 2.52
Co (0.0000, 0.0000, 0.3868)  1 Co 2.25

Properties
As for the formation enthalpy at 0 K: 0.242 eV per atom. The calculation puts the volume at 17.88 Å³ per atom. As for the crystal system: tetragonal.

---

Compound: Li2RePt
Source: Alexandria via LeMat-Bulk
Functional: PBEsol
Structure: optimized geometry

a b c (Å): 2.7036 4.3797 8.6331
angles (deg): 90.00 90.00 90.00
Last column: nearest neighbours and their distance in Å.
Space group Imm2 (No. 44)
Inequivalent atoms, fractional coordinates:
Li (0.0000, 0.0000, 0.0000)  2 Li 2.40, 2 Pt 2.53, 4 Re 2.57
Li (0.0000, 0.5000, 0.2703)  2 Li 2.40, 4 Pt 2.58, 2 Re 2.66
Re (0.0000, 0.0000, 0.5052)  6 Li 2.57-2.66, 2 Pt 2.60, 2 Re 2.70
Pt (0.0000, 0.5000, 0.7481)  6 Li 2.53-2.58, 2 Re 2.60, 2 Pt 2.70

Properties
As for the formation enthalpy at 0 K: 0.161 eV per atom. The calculation puts the volume at 12.78 Å³ per atom. As for the crystal system: orthorhombic. As for the polymorph energy (0 for the lowest one): 0.2724 eV/atom.

---

Compound: ScTc2Ru
Source: Alexandria via LeMat-Bulk
Functional: PBEsol
Structure: optimized geometry

a b c (Å): 3.0466 4.4731 8.7119
angles (deg): 90.00 90.00 90.00
Last column: nearest neighbours and their distance in Å.
Space group Imm2 (No. 44)
Inequivalent atoms, fractional coordinates:
Sc (0.0000, 0.0000, 0.0000)  6 Tc 2.71-2.72, 2 Ru 2.71
Tc (0.0000, 0.0000, 0.5054)  2 Tc 2.56, 2 Ru 2.65, 4 Sc 2.71
Tc (0.0000, 0.5000, 0.2415)  2 Tc 2.56, 4 Ru 2.71, 2 Sc 2.72
Ru (0.0000, 0.5000, 0.7570)  6 Tc 2.65-2.71, 2 Sc 2.71

Properties
As for the formation enthalpy at 0 K: -0.019 eV per atom. The calculation puts the volume at 14.84 Å³ per atom. As for the crystal system: orthorhombic. As for the polymorph energy (0 for the lowest one): 0.0497 eV/atom.

---

Compound: BeAs3H
Source: Alexandria via LeMat-Bulk
Functional: PBEsol
Structure: optimized geometry

a b c (Å): 4.1373 4.1373 4.1373
angles (deg): 90.00 90.00 90.00
Last column: nearest neighbours and their distance in Å.
Space group Pm-3m (No. 221)
Inequivalent atoms, fractional coordinates:
Be (0.0000, 0.0000, 0.0000)  12 As 2.93
As (0.0000, 0.5000, 0.5000)  2 H 2.07
H (0.5000, 0.5000, 0.5000)  6 As 2.07

Properties
The calculation puts the volume at 14.16 Å³ per atom. As for the crystal system: cubic. The value obtained for the total energy is -3.789 eV/atom.

---

Compound: Rb2MgCBr
Source: Alexandria via LeMat-Bulk
Functional: PBEsol
Structure: optimized geometry

a b c (Å): 6.4839 6.4839 4.0248
angles (deg): 90.00 90.00 90.00
Last column: nearest neighbours and their distance in Å.
Space group P4/mmm (No. 123)
Inequivalent atoms, fractional coordinates:
Rb (0.0000, 0.5000, 0.0000)  2 Mg 3.24
Mg (0.0000, 0.0000, 0.0000)  2 C 2.01
C (0.0000, 0.0000, 0.5000)  2 Mg 2.01
Br (0.5000, 0.5000, 0.5000)  8 Rb 3.82, 2 Br 4.02

Properties
The calculation puts the volume at 33.84 Å³ per atom. As for the uncorrected formation energy: 266 meV per atom. As for the crystal system: tetragonal.

---

Compound: K2TlCr
Source: Alexandria via LeMat-Bulk
Functional: PBEsol
Structure: optimized geometry

a b c (Å): 4.0276 5.1722 6.4134
angles (deg): 90.00 90.21 90.00
Last column: nearest neighbours and their distance in Å.
Space group P2/m (No. 10)
Inequivalent atoms, fractional coordinates:
K (0.0032, 0.0000, 0.2505)  2 K 3.20-3.21
Tl (0.5000, 0.5000, 0.0000)  2 Cr 3.21
Cr (0.5000, 0.5000, 0.5000)  2 Tl 3.21

Properties
As for the formation enthalpy at 0 K: 0.718 eV per atom. The calculation puts the volume at 33.40 Å³ per atom. As for the crystal system: monoclinic. As for the polymorph energy (0 for the lowest one): 0.1323 eV/atom.

---

Compound: Sc2AgRh
Source: Alexandria via LeMat-Bulk
Functional: PBEsol
Structure: optimized geometry

a b c (Å): 3.1977 3.2925 6.7175
angles (deg): 90.00 90.00 90.00
Last column: nearest neighbours and their distance in Å.
Space group Pmmm (No. 47)
Inequivalent atoms, fractional coordinates:
Sc (0.0000, 0.0000, 0.2318)  4 Rh 2.77, 4 Ag 2.92
Ag (0.5000, 0.5000, 0.5000)  8 Sc 2.92, 2 Ag 3.20
Rh (0.5000, 0.5000, 0.0000)  8 Sc 2.77

Properties
As for the formation enthalpy at 0 K: -0.634 eV per atom. The calculation puts the volume at 17.68 Å³ per atom. As for the crystal system: orthorhombic.